The following is a DFT calculation (PBE-GGA) of crystalline Cu2SnBrF at its relaxed geometry.

Properties
density of states at the Fermi level: 3.18 states/eV per cell
ρ: 5211 kg/m³
raw formation energy: -163.7 meV per atom

Cell lengths 5.028, 5.028, 4.345 Å; angles 90.00, 90.00, 90.00 degrees
Space group P4/mmm (No. 123)
Symmetry-distinct sites (fractional):
Cu 0.000 0.500 0.000 x2
Sn 0.000 0.000 0.000 x1
Br 0.500 0.500 0.500 x1
F 0.000 0.000 0.500 x1

=====

The following is a DFT calculation (PBE-GGA) of crystalline TlCuBr2F at its relaxed geometry.

Properties
density of states at the Fermi level: 2.26 states/eV per cell
ρ: 6573 kg/m³
raw formation energy: -844.7 meV per atom

Cell lengths 5.313, 5.313, 3.998 Å; angles 90.00, 90.00, 90.00 degrees
Space group P4/mmm (No. 123)
Symmetry-distinct sites (fractional):
Tl 0.000 0.000 0.000 x1
Cu 0.500 0.500 0.500 x1
Br 0.000 0.500 0.500 x2
F 0.500 0.500 0.000 x1

=====

The following is a DFT calculation (PBE-GGA) of crystalline TlCuBrF2 at its relaxed geometry.

Properties
density of states at the Fermi level: 2.56 states/eV per cell
ρ: 6894 kg/m³
raw formation energy: -1137.2 meV per atom

Cell lengths 4.325, 4.325, 4.968 Å; angles 90.00, 90.00, 90.00 degrees
Space group P4/mmm (No. 123)
Symmetry-distinct sites (fractional):
Tl 0.000 0.000 0.000 x1
Cu 0.500 0.500 0.500 x1
Br 0.500 0.500 0.000 x1
F 0.000 0.500 0.500 x2

=====

The following is a DFT calculation (PBE-GGA) of crystalline Tl2CuBr2F2 at its relaxed geometry.

Properties
density of states at the Fermi level: 5.28 states/eV per cell
ρ: 6769 kg/m³
raw formation energy: -1101.6 meV per atom

Cell lengths 4.541, 4.541, 15.942 Å; angles 90.00, 90.00, 90.00 degrees
Space group I4/mmm (No. 139)
Symmetry-distinct sites (fractional):
Tl 0.000 0.000 0.117 x4
Cu 0.000 0.000 0.500 x2
Br 0.000 0.000 0.346 x4
F 0.000 0.500 0.000 x4

=====

The following is a DFT calculation (PBE-GGA) of crystalline TlCu2BrF2 at its relaxed geometry.

Properties
ρ: 6301 kg/m³
raw formation energy: -974.8 meV per atom

Cell lengths 6.147, 5.019, 8.090 Å; angles 90.00, 108.37, 90.00 degrees
Space group P2_1/m (No. 11)
Symmetry-distinct sites (fractional):
Tl 0.172 0.250 0.394 x2
Cu 0.409 0.000 0.843 x4
Br 0.233 0.750 0.058 x2
F 0.127 0.250 0.699 x2
F 0.350 0.750 0.626 x2

=====

The following is a DFT calculation (PBE-GGA) of crystalline ZnCu3Br2F6 at its relaxed geometry.

Properties
density of states at the Fermi level: 5.44 states/eV per cell
ρ: 4698 kg/m³
raw formation energy: -1304.2 meV per atom

Cell lengths 12.720, 5.857, 5.046 Å; angles 90.00, 94.92, 90.00 degrees
Space group C2/m (No. 12)
Symmetry-distinct sites (fractional):
Zn 0.000 0.000 0.000 x2
Cu 0.000 0.500 0.500 x2
Cu 0.250 0.250 0.000 x4
Br 0.198 0.500 0.333 x4
F 0.047 0.259 0.755 x8
F 0.164 0.000 0.128 x4

=====

The following is a DFT calculation (PBE-GGA) of crystalline FeCuBr2 at its relaxed geometry.

Properties
energy above the lowest structure with this stoichiometry: 24 meV/atom
density of states at the Fermi level: 2.99 states/eV per cell
ρ: 5046 kg/m³
raw formation energy: 96.5 meV per atom

Cell lengths 4.135, 5.846, 7.602 Å; angles 90.00, 90.00, 90.00 degrees
Space group Cmm2 (No. 35)
Symmetry-distinct sites (fractional):
Fe 0.000 0.000 0.000 x2
Cu 0.000 0.500 0.825 x2
Br 0.000 0.000 0.658 x2
Br 0.000 0.500 0.197 x2

=====

The following is a DFT calculation (PBE-GGA) of crystalline FeCuBr2 at its relaxed geometry.

Properties
energy above the lowest structure with this stoichiometry: 70 meV/atom
density of states at the Fermi level: 5.64 states/eV per cell
ρ: 4971 kg/m³
raw formation energy: 142.4 meV per atom

Cell lengths 3.557, 3.617, 14.497 Å; angles 90.00, 90.00, 90.00 degrees
Space group Imm2 (No. 44)
Symmetry-distinct sites (fractional):
Fe 0.000 0.000 0.000 x2
Cu 0.000 0.500 0.378 x2
Br 0.000 0.000 0.571 x2
Br 0.000 0.500 0.837 x2

=====

The following is a DFT calculation (PBE-GGA) of crystalline FeCuBr2 at its relaxed geometry.

Properties
energy above the lowest structure with this stoichiometry: 230 meV/atom
density of states at the Fermi level: 3.02 states/eV per cell
ρ: 4923 kg/m³
raw formation energy: 302.6 meV per atom

Cell lengths 3.481, 7.114, 7.604 Å; angles 90.00, 90.00, 90.00 degrees
Space group Immm (No. 71)
Symmetry-distinct sites (fractional):
Fe 0.000 0.000 0.000 x2
Cu 0.000 0.000 0.500 x2
Br 0.000 0.500 0.252 x4

=====

The following is a DFT calculation (PBE-GGA) of crystalline FeCu2Br at its relaxed geometry.

Properties
energy above the lowest structure with this stoichiometry: 330 meV/atom
density of states at the Fermi level: 4.86 states/eV per cell
ρ: 7002 kg/m³
raw formation energy: 618.1 meV per atom

Cell lengths 5.127, 9.850, 3.059 Å; angles 90.00, 126.20, 90.00 degrees
Space group C2/m (No. 12)
Symmetry-distinct sites (fractional):
Fe 0.000 0.000 0.000 x2
Cu 0.250 0.250 0.000 x4
Br 0.000 0.500 0.000 x2

=====

The following is a DFT calculation (PBE-GGA) of crystalline FeCu2Br4 at its relaxed geometry.

Properties
density of states at the Fermi level: 12.10 states/eV per cell
ρ: 4192 kg/m³
raw formation energy: -319.9 meV per atom

Cell lengths 5.632, 5.632, 12.550 Å; angles 90.00, 90.00, 90.00 degrees
Space group I-42m (No. 121)
Symmetry-distinct sites (fractional):
Fe 0.000 0.000 0.000 x2
Cu 0.000 0.500 0.000 x4
Br 0.248 0.248 0.881 x8

=====

The following is a DFT calculation (PBE-GGA) of crystalline FeCuBr2 at its relaxed geometry.

Properties
energy above the lowest structure with this stoichiometry: 32 meV/atom
density of states at the Fermi level: 13.21 states/eV per cell
ρ: 4901 kg/m³
raw formation energy: 104.3 meV per atom

Cell lengths 5.756, 5.756, 11.423 Å; angles 90.00, 90.00, 90.00 degrees
Space group I-42d (No. 122)
Symmetry-distinct sites (fractional):
Fe 0.000 0.000 0.000 x4
Cu 0.000 0.000 0.500 x4
Br 0.250 0.250 0.125 x8

=====

The following is a DFT calculation (PBE-GGA) of crystalline FeCu2Br at its relaxed geometry.

Properties
energy above the lowest structure with this stoichiometry: 195 meV/atom
density of states at the Fermi level: 5.48 states/eV per cell
ρ: 5804 kg/m³
raw formation energy: 482.3 meV per atom

Cell lengths 7.921, 3.405, 5.583 Å; angles 90.00, 92.72, 90.00 degrees
Space group C2/m (No. 12)
Symmetry-distinct sites (fractional):
Fe 0.000 0.000 0.000 x2
Cu 0.199 0.500 0.854 x4
Br 0.000 0.500 0.500 x2

=====

The following is a DFT calculation (PBE-GGA) of crystalline FeCu2Br at its relaxed geometry.

Properties
energy above the lowest structure with this stoichiometry: 36 meV/atom
density of states at the Fermi level: 5.11 states/eV per cell
ρ: 5706 kg/m³
raw formation energy: 323.4 meV per atom

Cell lengths 7.739, 3.204, 6.221 Å; angles 90.00, 97.39, 90.00 degrees
Space group Cm (No. 8)
Symmetry-distinct sites (fractional):
Fe 0.000 0.000 0.000 x2
Cu 0.226 0.500 0.160 x2
Cu 0.452 0.000 0.308 x2
Br 0.415 0.000 0.696 x2

=====

The following is a DFT calculation (PBE-GGA) of crystalline FeCu2Br at its relaxed geometry.

Properties
energy above the lowest structure with this stoichiometry: 328 meV/atom
density of states at the Fermi level: 3.38 states/eV per cell
ρ: 7200 kg/m³
raw formation energy: 615.5 meV per atom

Cell lengths 3.138, 4.191, 4.609 Å; angles 90.00, 90.00, 90.00 degrees
Space group Pmmm (No. 47)
Symmetry-distinct sites (fractional):
Fe 0.000 0.000 0.000 x1
Cu 0.000 0.500 0.500 x1
Cu 0.500 0.000 0.500 x1
Br 0.500 0.500 0.000 x1

=====

The following is a DFT calculation (PBE-GGA) of crystalline FeCuBr2 at its relaxed geometry.

Properties
energy above the lowest structure with this stoichiometry: 231 meV/atom
density of states at the Fermi level: 3.33 states/eV per cell
ρ: 4953 kg/m³
raw formation energy: 303.3 meV per atom

Cell lengths 3.469, 7.073, 7.630 Å; angles 90.00, 90.00, 90.00 degrees
Space group Cmmm (No. 65)
Symmetry-distinct sites (fractional):
Fe 0.000 0.000 0.000 x2
Cu 0.000 0.000 0.500 x2
Br 0.000 0.500 0.251 x4

=====

The following is a DFT calculation (PBE-GGA) of crystalline FeCu2Br at its relaxed geometry.

Properties
energy above the lowest structure with this stoichiometry: 396 meV/atom
density of states at the Fermi level: 12.75 states/eV per cell
ρ: 7323 kg/m³
raw formation energy: 683.3 meV per atom

Cell lengths 6.201, 6.201, 6.201 Å; angles 90.00, 90.00, 90.00 degrees
Space group F-43m (No. 216)
Symmetry-distinct sites (fractional):
Fe 0.000 0.000 0.000 x4
Cu 0.000 0.000 0.500 x4
Cu 0.250 0.250 0.250 x4
Br 0.250 0.250 0.750 x4

=====

The following is a DFT calculation (PBE-GGA) of crystalline Fe3CuBr at its relaxed geometry.

Properties
energy above the lowest structure with this stoichiometry: 0 meV/atom
density of states at the Fermi level: 7.46 states/eV per cell
ρ: 5611 kg/m³
raw formation energy: 1146.0 meV per atom

Cell lengths 4.515, 4.515, 4.515 Å; angles 90.00, 90.00, 90.00 degrees
Space group Pm-3m (No. 221)
Symmetry-distinct sites (fractional):
Fe 0.000 0.000 0.500 x3
Cu 0.000 0.000 0.000 x1
Br 0.500 0.500 0.500 x1

=====

The following is a DFT calculation (PBE-GGA) of crystalline FeCu2Br at its relaxed geometry.

Properties
energy above the lowest structure with this stoichiometry: 145 meV/atom
density of states at the Fermi level: 4.14 states/eV per cell
ρ: 6926 kg/m³
raw formation energy: 432.4 meV per atom

Cell lengths 3.214, 3.214, 6.100 Å; angles 90.00, 90.00, 90.00 degrees
Space group P4/mmm (No. 123)
Symmetry-distinct sites (fractional):
Fe 0.000 0.000 0.000 x1
Cu 0.500 0.500 0.204 x2
Br 0.000 0.000 0.500 x1

=====

The following is a DFT calculation (PBE-GGA) of crystalline FeCu2Br at its relaxed geometry.

Properties
energy above the lowest structure with this stoichiometry: 64 meV/atom
density of states at the Fermi level: 1.41 states/eV per cell
ρ: 6904 kg/m³
raw formation energy: 351.9 meV per atom

Cell lengths 3.156, 3.156, 6.349 Å; angles 90.00, 90.00, 90.00 degrees
Space group P4mm (No. 99)
Symmetry-distinct sites (fractional):
Fe 0.000 0.000 0.000 x1
Cu 0.000 0.000 0.605 x1
Cu 0.500 0.500 0.778 x1
Br 0.500 0.500 0.246 x1